First-principles (PBE-GGA) data for crystalline SiH at its relaxed geometry, as listed in the Alexandria database.

Results
ΔE to the lowest computed polymorph	1.583	eV/f.u.
crystal system	cubic
volume	20	Å³ per cell

a b c (Å): 3.045 3.045 3.045
angles (deg): 60.00 60.00 60.00
Atoms (fractional coordinates):
Si 0.000 0.000 0.000
H 0.250 0.250 0.250

---

First-principles (PBE-GGA) data for crystalline Dy3AlC3 at its relaxed geometry, as listed in the Alexandria database.

Results
E_tot	-6.692	eV per atom
crystal system	orthorhombic
volume	237	Å³ per cell

a b c (Å): 6.853 6.853 5.120
angles (deg): 90.00 90.00 99.61
Atoms (fractional coordinates):
Dy 0.108 0.892 0.750
Dy 0.147 0.391 0.750
Dy 0.391 0.147 0.250
Dy 0.609 0.853 0.750
Dy 0.853 0.609 0.250
Dy 0.892 0.108 0.250
Al 0.312 0.688 0.250
Al 0.688 0.312 0.750
C 0.115 0.885 0.250
C 0.159 0.410 0.250
C 0.410 0.159 0.750
C 0.590 0.841 0.250
C 0.841 0.590 0.750
C 0.885 0.115 0.750

---

First-principles (PBE-GGA) data for crystalline SnPbIO2 at its relaxed geometry, as listed in the Alexandria database.

Results
ΔE to the lowest computed polymorph	4.774	eV/f.u.
formation energy (no corrections)	-0.46	eV/f.u.
crystal system	tetragonal
volume	124	Å³ per cell

a b c (Å): 4.468 4.468 6.217
angles (deg): 90.00 90.00 90.00
Atoms (fractional coordinates):
Sn 0.000 0.000 0.000
Pb 0.500 0.500 0.500
I 0.500 0.500 0.000
O 0.000 0.500 0.500
O 0.500 0.000 0.500

---

First-principles (PBE-GGA) data for crystalline TiNbN at its relaxed geometry, as listed in the Alexandria database.

Results
formation energy (no corrections)	-3.22	eV/f.u.
crystal system	monoclinic
volume	79	Å³ per cell

a b c (Å): 5.748 5.748 5.315
angles (deg): 117.51 117.51 30.83
Atoms (fractional coordinates):
Ti 0.129 0.129 0.463
Ti 0.871 0.871 0.537
Nb 0.379 0.379 0.046
Nb 0.621 0.621 0.954
N 0.251 0.251 0.262
N 0.749 0.749 0.738

---

First-principles (PBE-GGA) data for crystalline CaIn2Cl at its relaxed geometry, as listed in the Alexandria database.

Results
ΔE to the lowest computed polymorph	1.869	eV/f.u.
formation energy (no corrections)	-1.45	eV/f.u.
crystal system	trigonal
volume	115	Å³ per cell

a b c (Å): 9.988 9.988 9.988
angles (deg): 21.30 21.30 21.30
Atoms (fractional coordinates):
Ca 0.000 0.000 0.000
In 0.243 0.243 0.243
In 0.757 0.757 0.757
Cl 0.500 0.500 0.500

---

First-principles (PBE-GGA) data for crystalline InAsSe2 at its relaxed geometry, as listed in the Alexandria database.

Results
formation energy (no corrections)	0.35	eV/f.u.
crystal system	orthorhombic
volume	112	Å³ per cell

a b c (Å): 4.249 4.249 7.643
angles (deg): 90.00 90.00 125.48
Atoms (fractional coordinates):
In 0.000 0.000 0.000
As 0.000 0.000 0.500
Se 0.500 0.500 0.266
Se 0.500 0.500 0.734

---

First-principles (PBE-GGA) data for crystalline Li2FePb2 at its relaxed geometry, as listed in the Alexandria database.

Results
ΔE to the lowest computed polymorph	0.464	eV/f.u.
crystal system	tetragonal
volume	99	Å³ per cell

a b c (Å): 8.317 8.317 8.317
angles (deg): 155.49 155.49 34.94
Atoms (fractional coordinates):
Li 0.250 0.750 0.500
Li 0.750 0.250 0.500
Fe 0.000 0.000 0.000
Pb 0.398 0.398 0.000
Pb 0.602 0.602 0.000

---

First-principles (PBE-GGA) data for crystalline Dy2ZnTe at its relaxed geometry, as listed in the Alexandria database.

Results
ΔE to the lowest computed polymorph	0.000	eV/f.u.
formation energy (no corrections)	-3.25	eV/f.u.
crystal system	orthorhombic
volume	213	Å³ per cell

a b c (Å): 11.925 11.925 4.282
angles (deg): 90.00 90.00 159.55
Atoms (fractional coordinates):
Dy 0.062 0.938 0.750
Dy 0.333 0.667 0.750
Dy 0.667 0.333 0.250
Dy 0.938 0.062 0.250
Zn 0.462 0.538 0.750
Zn 0.538 0.462 0.250
Te 0.196 0.804 0.750
Te 0.804 0.196 0.250

---

First-principles (PBE-GGA) data for crystalline SmYSn2 at its relaxed geometry, as listed in the Alexandria database.

Results
E_tot	-5.454	eV per atom
crystal system	tetragonal
volume	109	Å³ per cell

a b c (Å): 3.497 3.497 8.900
angles (deg): 90.00 90.00 90.00
Atoms (fractional coordinates):
Sm 0.000 0.000 0.000
Y 0.000 0.000 0.500
Sn 0.500 0.500 0.254
Sn 0.500 0.500 0.746

---

First-principles (PBE-GGA) data for crystalline Pa2CuTe4 at its relaxed geometry, as listed in the Alexandria database.

Results
formation energy (no corrections)	-3.77	eV/f.u.
crystal system	monoclinic
volume	404	Å³ per cell

a b c (Å): 7.113 7.192 8.261
angles (deg): 90.00 106.84 90.00
Atoms (fractional coordinates):
Pa 0.210 0.250 0.051
Pa 0.234 0.250 0.559
Pa 0.766 0.750 0.441
Pa 0.790 0.750 0.949
Cu 0.248 0.750 0.314
Cu 0.752 0.250 0.686
Te 0.016 0.511 0.749
Te 0.016 0.989 0.749
Te 0.440 0.750 0.097
Te 0.443 0.750 0.625
Te 0.557 0.250 0.375
Te 0.560 0.250 0.903
Te 0.984 0.011 0.251
Te 0.984 0.489 0.251

---

First-principles (PBE-GGA) data for crystalline HfPd3Pt at its relaxed geometry, as listed in the Alexandria database.

Results
ΔE to the lowest computed polymorph	0.000	eV/f.u.
crystal system	monoclinic
volume	166	Å³ per cell

a b c (Å): 4.359 5.565 7.191
angles (deg): 90.00 107.59 90.00
Atoms (fractional coordinates):
Hf 0.205 0.250 0.410
Hf 0.795 0.750 0.590
Pd 0.015 0.250 0.029
Pd 0.393 0.504 0.788
Pd 0.393 0.996 0.788
Pd 0.607 0.004 0.212
Pd 0.607 0.496 0.212
Pd 0.985 0.750 0.971
Pt 0.183 0.750 0.364
Pt 0.817 0.250 0.636

---

First-principles (PBE-GGA) data for crystalline ReHg3N at its relaxed geometry, as listed in the Alexandria database.

Results
ΔE to the lowest computed polymorph	0.000	eV/f.u.
formation energy (no corrections)	8.67	eV/f.u.
crystal system	cubic
volume	98	Å³ per cell

a b c (Å): 4.615 4.615 4.615
angles (deg): 90.00 90.00 90.00
Atoms (fractional coordinates):
Re 0.000 0.000 0.000
Hg 0.000 0.500 0.500
Hg 0.500 0.000 0.500
Hg 0.500 0.500 0.000
N 0.500 0.500 0.500